(1)
{"formula": "DyEr2Lu", "functional": "PBE-GGA", "state": "optimized geometry", "lattice_angstrom": [[5.543, 0.000, 0.000], [0.000, 3.562, 6.170], [0.000, -3.562, 6.170]], "species": ["Dy", "Dy", "Er", "Er", "Er", "Er", "Lu", "Lu"], "fractional_positions": [[0.000, 0.333, 0.333], [0.500, 0.667, 0.667], [0.500, 0.166, 0.166], [0.000, 0.834, 0.333], [0.000, 0.333, 0.834], [0.000, 0.834, 0.834], [0.500, 0.668, 0.166], [0.500, 0.166, 0.668]], "magnetic_moment_mub_per_cell": 0.06, "vol_a3_per_atom": 30.5, "sg": "No. 38", "dft_energy_ha_per_atom": -0.1676}

(2)
{"formula": "NiBAs", "functional": "PBE-GGA", "state": "optimized geometry", "lattice_angstrom": [[0.000, 2.651, 2.651], [2.651, 0.000, 2.651], [2.651, 2.651, 0.000]], "species": ["As", "B", "Ni"], "fractional_positions": [[0.250, 0.250, 0.250], [0.750, 0.750, 0.750], [0.000, 0.000, 0.000]], "magnetic_moment_mub_per_cell": 0.00, "vol_a3_per_atom": 12.4, "sg": "No. 216", "e_above_lowest_polymorph_ev_per_atom": 0.000}

(3)
{"formula": "Er2Hf", "functional": "PBE-GGA", "state": "optimized geometry", "lattice_angstrom": [[2.390, -7.192, 0.000], [2.390, 7.192, 0.000], [0.000, 0.000, 4.724]], "species": ["Er", "Er", "Er", "Er", "Hf", "Hf"], "fractional_positions": [[0.922, 0.078, 0.250], [0.249, 0.751, 0.250], [0.751, 0.249, 0.750], [0.078, 0.922, 0.750], [0.575, 0.425, 0.250], [0.425, 0.575, 0.750]], "magnetic_moment_mub_per_cell": 0.06, "vol_a3_per_atom": 27.1, "sg": "No. 63", "e_above_lowest_polymorph_ev_per_atom": 0.000}

(4)
{"formula": "TmZrTeC", "functional": "PBE-GGA", "state": "optimized geometry", "lattice_angstrom": [[-0.243, 3.379, 1.312], [-2.270, -2.577, 1.186], [8.853, -3.224, 9.944]], "species": ["C", "C", "Te", "Te", "Tm", "Tm", "Zr", "Zr"], "fractional_positions": [[0.000, 0.000, 0.006], [0.000, 0.000, 0.506], [0.667, 0.333, 0.244], [0.333, 0.667, 0.744], [0.333, 0.667, 0.409], [0.667, 0.333, 0.909], [0.333, 0.667, 0.091], [0.667, 0.333, 0.591]], "magnetic_moment_mub_per_cell": 0.01, "vol_a3_per_atom": 19.6, "sg": "No. 186", "e_above_lowest_polymorph_ev_per_atom": 0.009}

(5)
{"formula": "LiScU", "functional": "PBE-GGA", "state": "optimized geometry", "lattice_angstrom": [[-1.341, -4.038, 1.983], [-4.508, -1.302, -0.143], [-1.316, -3.614, -2.692]], "species": ["Li", "Sc", "U"], "fractional_positions": [[0.000, 0.000, 0.000], [0.250, 0.250, 0.250], [0.750, 0.750, 0.750]], "magnetic_moment_mub_per_cell": 4.54, "vol_a3_per_atom": 24.4, "sg": "No. 216", "e_above_lowest_polymorph_ev_per_atom": 0.000}

(6)
{"formula": "RbMo3Pb5", "functional": "PBE-GGA", "state": "optimized geometry", "lattice_angstrom": [[5.644, 0.000, 0.000], [-2.822, 4.887, 0.000], [0.000, 0.000, 9.172]], "species": ["Mo", "Mo", "Mo", "Pb", "Pb", "Pb", "Pb", "Pb", "Rb"], "fractional_positions": [[0.500, 0.000, 0.500], [0.000, 0.500, 0.500], [0.500, 0.500, 0.500], [0.667, 0.333, 0.226], [0.333, 0.667, 0.226], [0.000, 0.000, 0.500], [0.667, 0.333, 0.774], [0.333, 0.667, 0.774], [0.000, 0.000, 0.000]], "magnetic_moment_mub_per_cell": 0.01, "vol_a3_per_atom": 28.1, "sg": "No. 191", "dft_energy_ha_per_atom": -0.2042}

(7)
{"formula": "PuFePd", "functional": "PBE-GGA", "state": "optimized geometry", "lattice_angstrom": [[0.000, 2.975, 2.975], [2.975, 0.000, 2.975], [2.975, 2.975, 0.000]], "species": ["Fe", "Pd", "Pu"], "fractional_positions": [[0.000, 0.000, 0.000], [0.750, 0.750, 0.750], [0.250, 0.250, 0.250]], "magnetic_moment_mub_per_cell": 0.05, "vol_a3_per_atom": 17.6, "sg": "No. 216", "dft_energy_ha_per_atom": -0.3134}

(8)
{"formula": "Re3Se4I", "functional": "PBE-GGA", "state": "optimized geometry", "lattice_angstrom": [[-4.794, 3.630, -2.825], [-3.382, -9.634, -6.638], [-3.122, -5.502, 9.576]], "species": ["I", "I", "I", "I", "Re", "Re", "Re", "Re", "Re", "Re", "Re", "Re", "Re", "Re", "Re", "Re", "Se", "Se", "Se", "Se", "Se", "Se", "Se", "Se", "Se", "Se", "Se", "Se", "Se", "Se", "Se", "Se"], "fractional_positions": [[0.390, 0.135, 0.096], [0.610, 0.635, 0.404], [0.390, 0.365, 0.596], [0.610, 0.865, 0.904], [0.465, 0.358, 0.052], [0.803, 0.478, 0.060], [0.540, 0.557, 0.160], [0.460, 0.057, 0.340], [0.197, 0.978, 0.440], [0.535, 0.858, 0.448], [0.465, 0.142, 0.552], [0.803, 0.022, 0.560], [0.540, 0.943, 0.660], [0.460, 0.443, 0.840], [0.197, 0.522, 0.940], [0.535, 0.642, 0.948], [0.277, 0.711, 0.042], [0.231, 0.434, 0.161], [0.866, 0.665, 0.164], [0.201, 0.897, 0.238], [0.799, 0.397, 0.262], [0.134, 0.165, 0.336], [0.769, 0.934, 0.339], [0.723, 0.211, 0.458], [0.277, 0.789, 0.542], [0.231, 0.066, 0.661], [0.866, 0.835, 0.664], [0.201, 0.603, 0.738], [0.799, 0.103, 0.762], [0.134, 0.335, 0.836], [0.769, 0.566, 0.839], [0.723, 0.289, 0.958]], "magnetic_moment_mub_per_cell": 0.00, "vol_a3_per_atom": 26.3, "sg": "No. 14", "dft_energy_ha_per_atom": -0.2574}

(9)
{"formula": "InNi3SnS2", "functional": "PBE-GGA", "state": "optimized geometry", "lattice_angstrom": [[2.718, 1.569, 4.485], [-2.718, 1.569, 4.485], [0.000, -3.138, 4.485]], "species": ["In", "Ni", "Ni", "Ni", "S", "S", "Sn"], "fractional_positions": [[0.500, 0.500, 0.500], [0.500, 0.500, 0.000], [0.500, 0.000, 0.500], [0.000, 0.500, 0.500], [0.220, 0.220, 0.220], [0.780, 0.780, 0.780], [0.000, 0.000, 0.000]], "magnetic_moment_mub_per_cell": 0.00, "vol_a3_per_atom": 16.4, "sg": "No. 166", "e_above_lowest_polymorph_ev_per_atom": 0.000}

(10)
{"formula": "HoZrTeC", "functional": "PBE-GGA", "state": "optimized geometry", "lattice_angstrom": [[-3.022, -1.033, 1.765], [0.392, -0.764, -3.546], [5.989, -11.982, 3.244]], "species": ["C", "C", "Ho", "Ho", "Te", "Te", "Zr", "Zr"], "fractional_positions": [[0.000, 0.000, 0.008], [0.000, 0.000, 0.508], [0.333, 0.667, 0.409], [0.667, 0.333, 0.909], [0.667, 0.333, 0.242], [0.333, 0.667, 0.742], [0.333, 0.667, 0.091], [0.667, 0.333, 0.591]], "magnetic_moment_mub_per_cell": 0.00, "vol_a3_per_atom": 19.9, "sg": "No. 186", "e_above_lowest_polymorph_ev_per_atom": 0.002}

(11)
{"formula": "YCdNO", "functional": "PBE-GGA", "state": "optimized geometry", "lattice_angstrom": [[3.535, -1.609, 0.246], [1.967, 4.651, 2.156], [-1.349, -2.088, 5.734]], "species": ["Cd", "Cd", "N", "N", "O", "O", "Y", "Y"], "fractional_positions": [[0.500, 0.974, 0.196], [0.500, 0.474, 0.804], [0.000, 0.895, 0.340], [0.000, 0.395, 0.660], [0.500, 0.403, 0.165], [0.500, 0.903, 0.835], [0.000, 0.482, 0.312], [0.000, 0.982, 0.688]], "magnetic_moment_mub_per_cell": 0.00, "vol_a3_per_atom": 16.7, "sg": "No. 26", "e_above_lowest_polymorph_ev_per_atom": 0.024}

(12)
{"formula": "Hf4CdInO2", "functional": "PBE-GGA", "state": "optimized geometry", "lattice_angstrom": [[3.241, 0.000, 0.000], [-1.620, 2.807, 0.000], [0.000, 0.000, 14.838]], "species": ["Cd", "Hf", "Hf", "Hf", "Hf", "In", "O", "O"], "fractional_positions": [[0.000, 0.000, 0.000], [0.667, 0.333, 0.164], [0.000, 0.000, 0.336], [0.000, 0.000, 0.664], [0.667, 0.333, 0.836], [0.667, 0.333, 0.500], [0.333, 0.667, 0.248], [0.333, 0.667, 0.752]], "magnetic_moment_mub_per_cell": 0.00, "vol_a3_per_atom": 16.9, "sg": "No. 187", "dft_energy_ha_per_atom": -0.2876}